# 1
Compound: Sr2Cd2GaGe4
Source: the Alexandria database
Functional: PBE-GGA
Structure: optimized geometry

For the total magnetization, the calculation gives 0.0 μB per formula unit.

The structure belongs to space group I4/mmm (No. 139); the cell edges are 6.970, 6.970 and 9.160 Å and the angles 90.00°, 90.00° and 90.00°. The asymmetric unit holds Sr at (0.000, 0.500, 0.250), Cd at (0.000, 0.000, 0.213), Ga at (0.000, 0.000, 0.500) and Ge at (0.209, 0.209, 0.000).

=====

# 2
Compound: CdGa2TcGe
Source: the Alexandria database
Functional: PBE-GGA
Structure: optimized geometry

For the total magnetization, the calculation gives 3.1 μB per formula unit.

The structure belongs to space group P4/mmm (No. 123); the cell edges are 4.893, 4.893 and 5.305 Å and the angles 90.00°, 90.00° and 90.00°. The asymmetric unit holds Cd at (0.000, 0.000, 0.000), Ga at (0.000, 0.500, 0.000), Tc at (0.000, 0.000, 0.500) and Ge at (0.500, 0.500, 0.500).

=====

# 3
Compound: CdGa2TcGe
Source: the Alexandria database
Functional: PBE-GGA
Structure: optimized geometry

For the total magnetization, the calculation gives 0.0 μB per formula unit.

The structure belongs to space group P4/mmm (No. 123); the cell edges are 4.911, 4.911 and 4.792 Å and the angles 90.00°, 90.00° and 90.00°. The asymmetric unit holds Cd at (0.000, 0.000, 0.000), Ga at (0.000, 0.500, 0.500), Tc at (0.500, 0.500, 0.500) and Ge at (0.500, 0.500, 0.000).

=====

What are the calculated formation energy values for these records? In order: -22; 120; 15 kJ/mol of atoms.
What are the calculated volume values for these records? In order: 445.0; 127.0; 115.6 Å³ per cell.